## FeRe (PBE)

Data for a geometry-optimized FeRe structure.

Summary:
DFT formation energy ... 0.0138 eV/atom
DOS at the Fermi energy ... 11.1 states/eV/cell
Theoretical density ... 15.7 g cm⁻³
Electronic total energy ... -125.30 eV/cell

abc: 4.7307 4.7307 7.9008
angles: 90.00 90.00 120.00
Space group P6_3/mmc (No. 194)
Symmetry-distinct sites (fractional):
Fe (0.1756, 0.3511, 0.2500)
Re (0.0000, 0.0000, 0.0000)
Re (0.3333, 0.6667, 0.5756)